The following is a PBE calculation of a relaxed structure of Pa2Co2Pb, from Alexandria.

Summary:
Energy of formation from the pure elements = -338 meV/atom
VASP energy = -7.720 eV per atom
Magnetization = 0.00 μB/atom

Lattice parameters (Å, degrees): 3.4676 7.5219 7.5219 90.00 90.00 90.00
With the nearest neighbours (Å) after each atom.
Atoms (fractional coordinates):
Pb1 0.0000 0.5000 0.5000  4 Co 2.96, 8 Pa 3.30
Co1 0.0000 0.3712 0.8712  1 Co 2.74, 6 Pa 2.78-2.83, 2 Pb 2.96
Pa1 0.5000 0.6666 0.8334  6 Co 2.78-2.83
Pa2 0.5000 0.1666 0.6666  6 Co 2.78-2.83
Co2 0.0000 0.1288 0.3712  1 Co 2.74, 6 Pa 2.78-2.83, 2 Pb 2.96
Co3 0.0000 0.6288 0.1288  1 Co 2.74, 6 Pa 2.78-2.83, 2 Pb 2.96
Co4 0.0000 0.8712 0.6288  1 Co 2.74, 6 Pa 2.78-2.83, 2 Pb 2.96
Pa3 0.5000 0.3334 0.1666  6 Co 2.78-2.83
Pb2 0.0000 0.0000 0.0000  4 Co 2.96, 8 Pa 3.30
Pa4 0.5000 0.8334 0.3334  6 Co 2.78-2.83

The following is a PBE calculation of a relaxed structure of HfAs2Rh7, from Alexandria.

Summary:
Energy of formation from the pure elements = -566 meV/atom
VASP energy = -7.637 eV per atom
Magnetization = 0.00 μB/atom

Lattice parameters (Å, degrees): 4.0199 4.0199 10.1081 101.47 101.47 90.00
With the nearest neighbours (Å) after each atom.
Atoms (fractional coordinates):
Rh1 0.2500 0.7500 0.5000  4 As 2.48
Rh2 0.1001 0.6001 0.2003  2 As 2.48
Rh3 0.6001 0.1001 0.2003  2 As 2.48
Hf1 0.0000 0.0000 0.0000  12 Rh 2.80-2.84
Rh4 0.7500 0.2500 0.5000  4 As 2.48
As1 0.3251 0.3251 0.6501  8 Rh 2.48
Rh5 0.5000 0.5000 0.0000  8 Rh 2.80, 4 Hf 2.84
As2 0.6749 0.6749 0.3499  8 Rh 2.48
Rh6 0.8999 0.3999 0.7997  2 As 2.48
Rh7 0.3999 0.8999 0.7997  2 As 2.48

The following is a PBE calculation of a relaxed structure of ScPbS2O8, from Alexandria.

Summary:
E_form (uncorrected) = -1.706 eV/atom
VASP energy = -6.536 eV per atom
Magnetization = 0.09 μB/atom

Lattice parameters (Å, degrees): 5.1609 5.1609 8.8267 94.27 94.27 61.97
With the nearest neighbours (Å) after each atom.
Atoms (fractional coordinates):
Sc1 0.0000 0.0000 0.0000  6 O 2.07-2.11
O1 0.7876 0.7876 0.0828  1 S 1.49
S1 0.6696 0.6696 0.1932  4 O 1.46-1.50
Pb1 0.0000 0.0000 0.5000  2 O 2.58
O2 0.2124 0.2124 0.9172  1 S 1.49
O3 0.7991 0.3442 0.1650  1 S 1.50
O4 0.3442 0.7991 0.1650  1 S 1.50
O5 0.2637 0.2637 0.6491  1 S 1.46
S2 0.3304 0.3304 0.8068  4 O 1.46-1.50
O6 0.6558 0.2009 0.8350  1 S 1.50
O7 0.2009 0.6558 0.8350  1 S 1.50
O8 0.7363 0.7363 0.3509  1 S 1.46

The following is a PBE calculation of a relaxed structure of Ce2BeFe5B2, from Alexandria.

Summary:
Energy of formation from the pure elements = -106 meV/atom
VASP energy = -7.232 eV per atom
Magnetization = 0.12 μB/atom

Lattice parameters (Å, degrees): 2.9782 8.9912 8.9912 90.00 90.00 90.00
With the nearest neighbours (Å) after each atom.
Atoms (fractional coordinates):
Ce1 0.0000 0.3224 0.8224  3 B 2.57-2.73, 10 Fe 2.70-2.83
Fe1 0.5000 0.5000 0.0000  4 B 2.14
Be1 0.0000 0.5000 0.5000  8 Fe 2.55
Fe2 0.5000 0.2191 0.0696  2 B 2.12
Fe3 0.5000 0.9304 0.2191  2 B 2.12
Fe4 0.5000 0.5696 0.7191  2 B 2.12
Fe5 0.5000 0.0696 0.7809  2 B 2.12
B1 0.0000 0.3794 0.1206  6 Fe 2.12-2.14
B2 0.0000 0.6206 0.8794  6 Fe 2.12-2.14
Fe6 0.5000 0.7809 0.9304  2 B 2.12
Ce2 0.0000 0.6776 0.1776  3 B 2.57-2.73, 10 Fe 2.70-2.83
Ce3 0.0000 0.1776 0.3224  3 B 2.57-2.73, 10 Fe 2.70-2.83
Ce4 0.0000 0.8224 0.6776  3 B 2.57-2.73, 10 Fe 2.70-2.83
Fe7 0.5000 0.2809 0.5696  2 B 2.12
Fe8 0.5000 0.4304 0.2809  2 B 2.12
Be2 0.0000 0.0000 0.0000  8 Fe 2.55
B3 0.0000 0.1206 0.6206  6 Fe 2.12-2.14
Fe9 0.5000 0.0000 0.5000  4 B 2.14
Fe10 0.5000 0.7191 0.4304  2 B 2.12
B4 0.0000 0.8794 0.3794  6 Fe 2.12-2.14

The following is a PBE calculation of a relaxed structure of AgTeI2F, from Alexandria.

Summary:
E_form (uncorrected) = -0.006 eV/atom
VASP energy = -2.199 eV per atom
Magnetization = 0.08 μB/atom
Energy above the lowest structure with this stoichiometry = 0 meV per atom

Lattice parameters (Å, degrees): 6.0177 6.0177 4.2162 90.00 90.00 90.00
With the nearest neighbours (Å) after each atom.
Atoms (fractional coordinates):
Ag1 0.5000 0.5000 0.5000  8 I 3.67
I1 0.5000 0.0000 0.0000  2 F 3.01
I2 0.0000 0.5000 0.0000  2 F 3.01
F1 0.0000 0.0000 0.0000  2 Te 2.11
Te1 0.0000 0.0000 0.5000  2 F 2.11

The following is a PBE calculation of a relaxed structure of KThAu, from Alexandria.

Summary:
Energy of formation from the pure elements = 51 meV/atom
VASP energy = -3.880 eV per atom
Magnetization = 0.00 μB/atom

Lattice parameters (Å, degrees): 3.7287 3.6876 16.9893 90.00 90.00 120.37
With the nearest neighbours (Å) after each atom.
Atoms (fractional coordinates):
Au1 0.5595 0.1190 0.0000  6 K 3.22-3.23
Au2 0.3300 0.6600 0.5000  6 Th 3.09
K1 0.2219 0.4439 0.8579  3 Au 3.22-3.23
Th1 0.6666 0.3332 0.3685  3 Au 3.09
K2 0.2219 0.4439 0.1421  3 Au 3.22-3.23
Th2 0.6666 0.3332 0.6315  3 Au 3.09

The following is a PBE calculation of a relaxed structure of HfZrTiAg, from Alexandria.

Summary:
Energy of formation from the pure elements = -54 meV/atom
VASP energy = -7.366 eV per atom
Magnetization = 0.00 μB/atom

Lattice parameters (Å, degrees): 3.1069 3.1069 8.2806 90.00 90.00 90.00
With the nearest neighbours (Å) after each atom.
Atoms (fractional coordinates):
Zr1 0.5000 0.5000 0.8150  4 Ti 3.02, 4 Ag 3.09, 4 Zr 3.11
Hf1 0.5000 0.5000 0.3276  4 Ti 2.95, 4 Ag 3.02, 4 Hf 3.11
Ti1 0.0000 0.0000 0.5653  4 Hf 2.95, 4 Zr 3.02, 4 Ti 3.11
Ag1 0.0000 0.0000 0.0768  4 Hf 3.02, 4 Zr 3.09, 4 Ag 3.11

The following is a PBE calculation of a relaxed structure of Na3NiCl, from Alexandria.

Summary:
E_form (uncorrected) = -0.128 eV/atom
VASP energy = -2.445 eV per atom
Magnetization = 0.04 μB/atom
Energy above the lowest structure with this stoichiometry = 0 meV per atom

Lattice parameters (Å, degrees): 5.2131 5.2131 5.2131 90.00 90.00 90.00
With the nearest neighbours (Å) after each atom.
Atoms (fractional coordinates):
Na1 0.0000 0.0000 0.5000  2 Cl 2.61
Cl1 0.0000 0.0000 0.0000  6 Na 2.61
Ni1 0.5000 0.5000 0.5000  12 Na 3.69
Na2 0.5000 0.0000 0.0000  2 Cl 2.61
Na3 0.0000 0.5000 0.0000  2 Cl 2.61

The following is a PBE calculation of a relaxed structure of Er6MgRh2, from Alexandria.

Summary:
Energy of formation from the pure elements = -488 meV/atom
VASP energy = -5.341 eV per atom
Magnetization = 0.00 μB/atom

Lattice parameters (Å, degrees): 8.4375 8.4375 8.4375 103.76 112.86 111.94
With the nearest neighbours (Å) after each atom.
Atoms (fractional coordinates):
Er1 0.1045 0.8178 0.2868  3 Rh 2.97-3.01, 1 Mg 3.18
Rh1 0.5000 0.1313 0.6313  6 Er 2.70-2.97, 1 Rh 2.74
Er2 0.8000 0.5620 0.7620  1 Rh 2.76
Er3 0.8955 0.1822 0.7132  3 Rh 2.97-3.01, 1 Mg 3.18
Er4 0.8000 0.0380 0.2380  1 Rh 2.76
Er5 0.6926 0.6755 0.3681  1 Rh 2.70
Rh2 0.3273 0.3273 0.0000  8 Er 2.76-3.04
Mg1 0.0000 0.5000 0.5000  12 Er 3.32-3.60
Er6 0.6926 0.3245 0.0171  1 Rh 2.70
Er7 0.3074 0.3245 0.6319  1 Rh 2.70
Er8 0.3074 0.6755 0.9829  1 Rh 2.70
Rh3 0.5000 0.8687 0.3687  6 Er 2.70-2.97, 1 Rh 2.74
Er9 0.4690 0.1822 0.2868  3 Rh 2.97-3.01, 1 Mg 3.18
Er10 0.2000 0.4380 0.2380  1 Rh 2.76
Mg2 0.0000 0.0000 0.0000  2 Rh 3.09, 8 Er 3.12-3.18
Rh4 0.6727 0.6727 0.0000  8 Er 2.76-3.04
Er11 0.5310 0.8178 0.7132  3 Rh 2.97-3.01, 1 Mg 3.18
Er12 0.2000 0.9620 0.7620  1 Rh 2.76

The following is a PBE calculation of a relaxed structure of NdEr2Rh, from Alexandria.

Summary:
Energy of formation from the pure elements = -450 meV/atom
VASP energy = -5.761 eV per atom
Magnetization = 0.00 μB/atom
Energy above the lowest structure with this stoichiometry = 62 meV per atom

Lattice parameters (Å, degrees): 3.4755 3.4755 8.7157 90.00 90.00 90.00
With the nearest neighbours (Å) after each atom.
Atoms (fractional coordinates):
Nd1 0.5000 0.5000 0.5000  4 Nd 3.48, 8 Er 3.68
Er1 0.0000 0.0000 0.1857  4 Rh 2.94, 1 Er 3.24
Rh1 0.5000 0.5000 0.0000  8 Er 2.94
Er2 0.0000 0.0000 0.8143  4 Rh 2.94, 1 Er 3.24

The following is a PBE calculation of a relaxed structure of LaCdCo, from Alexandria.

Summary:
Energy of formation from the pure elements = -210 meV/atom
VASP energy = -4.526 eV per atom
Magnetization = 0.15 μB/atom

Lattice parameters (Å, degrees): 3.9409 4.0720 8.8495 103.30 90.00 90.00
With the nearest neighbours (Å) after each atom.
Atoms (fractional coordinates):
La1 0.7500 0.0947 0.1893  6 Co 3.01-3.03
Co1 0.2500 0.5357 0.0715  2 Co 2.32
Cd1 0.2500 0.7048 0.4096  1 Co 2.91, 4 Cd 3.23
Co2 0.7500 0.4643 0.9285  2 Co 2.32
Cd2 0.7500 0.2952 0.5904  1 Co 2.91, 4 Cd 3.23
La2 0.2500 0.9053 0.8107  6 Co 3.01-3.03